1.
This record from Alexandria describes KYMg4 at its PBEsol-relaxed geometry. The functional is meta-GGA SCAN.

extended XYZ file:
```
6
Lattice="0.0000 4.3840 4.3840 4.3840 0.0000 4.3840 4.3840 4.3840 0.0000" Properties=species:S:1:pos:R:3 pbc="T T T"
K 0.0000 0.0000 0.0000
Y 6.5760 6.5760 6.5760
Mg 3.2994 3.2994 3.2994
Mg 5.4685 5.4685 3.2994
Mg 5.4685 3.2994 5.4685
Mg 3.2994 5.4685 5.4685
```

Space-group type ... F-43m, No. 216
DOS(E_F) ... 5.26 states/eV per cell
Energy of formation from the pure elements ... 0.131 eV/atom
E ... -9.213 eV per atom
M_tot ... 0.0 μB per formula unit

=====

2.
This record from Alexandria describes Hg2TeS at its PBEsol-relaxed geometry. The functional is meta-GGA SCAN.

extended XYZ file:
```
8
Lattice="-3.0955 3.0955 6.1592 3.0955 -3.0955 6.1592 3.0955 3.0955 -6.1592" Properties=species:S:1:pos:R:3 pbc="T T T"
Hg 4.6433 1.3411 -1.5398
Hg 1.3411 1.5478 1.5398
Hg -1.5478 1.7544 4.6194
Hg 1.7544 1.5478 7.6990
Te 3.0955 0.0000 3.0796
Te 0.0000 0.0000 6.1592
S 0.0000 0.0000 0.0000
S 0.0000 3.0955 3.0796
```

Space-group type ... I-42d, No. 122
Polymorph energy (0 for the lowest one) ... 0.000 kcal/mol of atoms
DOS(E_F) ... 0.52 states/eV per cell
E ... -45.943 eV per atom
M_tot ... 0.0 μB per formula unit
Formation energy (no corrections) ... -0.14 eV per atom

=====

3.
This record from Alexandria describes Zr2ScCo at its PBEsol-relaxed geometry. The functional is meta-GGA SCAN.

extended XYZ file:
```
4
Lattice="3.2045 0.0000 0.0000 0.0000 3.2045 0.0000 0.0000 0.0000 7.3054" Properties=species:S:1:pos:R:3 pbc="T T T"
Zr 0.0000 0.0000 1.5025
Zr 0.0000 0.0000 5.8028
Sc 1.6023 1.6023 3.6527
Co 1.6023 1.6023 0.0000
```

Space-group type ... P4/mmm, No. 123
Polymorph energy (0 for the lowest one) ... 1.733 kcal/mol of atoms
DOS(E_F) ... 4.31 states/eV per cell
Energy of formation from the pure elements ... -0.096 eV/atom
E ... -23.331 eV per atom
M_tot ... 2.6 μB per formula unit

=====

4.
This record from Alexandria describes Ag6SnSb at its PBEsol-relaxed geometry. The functional is meta-GGA SCAN.

extended XYZ file:
```
8
Lattice="4.7486 0.0000 0.0000 0.0000 5.9629 0.0000 0.0000 0.0000 5.1710" Properties=species:S:1:pos:R:3 pbc="T T T"
Ag 0.0000 0.0000 0.0000
Ag 0.0000 1.4687 2.6366
Ag 0.0000 4.4942 2.6366
Ag 2.3743 1.4767 4.3015
Ag 2.3743 2.9814 1.8160
Ag 2.3743 4.4861 4.3015
Sn 2.3743 0.0000 1.7348
Sb 0.0000 2.9814 0.0142
```

Space-group type ... Pmm2, No. 25
DOS(E_F) ... 1.73 states/eV per cell
E ... -32.651 eV per atom
M_tot ... 0.0 μB per formula unit
Formation energy (no corrections) ... 0.02 eV per atom